Compound: SrCo2Tc
Source: Alexandria via LeMat-Bulk
Functional: PBE
Structure: optimized geometry

Lattice parameters (Å, degrees): 5.9503 5.9503 5.9503 40.52 40.52 40.52
Positions (direct):
Co 0.0609 0.0609 0.0609
Co 0.4391 0.4391 0.4391
Sr 0.2500 0.2500 0.2500
Tc 0.7500 0.7500 0.7500

Properties
E (eV per atom): -6.284
Energy relative to the elements (kJ/mol of atoms): 27.08
Space-group type: R-3m
E above lowest polymorph (eV per atom): 0.0000